[1]
DFT (PBE) results for crystalline Dy5Mg5Cd2 at its relaxed geometry.

Cell lengths 5.2433, 5.2433, 14.1573 Å; angles 79.37, 79.37, 59.91 degrees
Fractional coordinates of all 12 atoms:
1 Dy 0.1444 0.1444 0.5674
2 Dy 0.6045 0.6045 0.1849
3 Dy 0.0000 0.0000 0.0000
4 Dy 0.8556 0.8556 0.4326
5 Dy 0.3955 0.3955 0.8151
6 Mg 0.6931 0.6931 0.9222
7 Mg 0.7737 0.7737 0.6804
8 Mg 0.3069 0.3069 0.0778
9 Mg 0.2263 0.2263 0.3196
10 Mg 0.5000 0.5000 0.5000
11 Cd 0.0732 0.0732 0.7829
12 Cd 0.9268 0.9268 0.2171

Energy   -2.78 eV/atom
DOS(E_F)   12.6 states/eV/f.u.
M_tot   0.000 μB per atom

[2]
DFT (PBE) results for crystalline PuNpNb2 at its relaxed geometry.

Cell lengths 2.9206, 5.3664, 5.3664 Å; angles 90.00, 90.00, 90.00 degrees
Fractional coordinates of all 4 atoms:
1 Nb 0.0000 0.5000 0.0000
2 Nb 0.0000 0.0000 0.5000
3 Pu 0.5000 0.5000 0.5000
4 Np 0.5000 0.0000 0.0000

Energy   -11.35 eV/atom
Excess energy over the best structure of this formula in the dataset   0.0303 eV per atom
DOS(E_F)   12.4 states/eV/f.u.
M_tot   2.019 μB per atom

[3]
DFT (PBE) results for crystalline SmAl2Tl at its relaxed geometry.

Cell lengths 4.4331, 4.5297, 4.5297 Å; angles 90.00, 90.00, 90.00 degrees
Fractional coordinates of all 4 atoms:
1 Al 0.0000 0.0000 0.5000
2 Al 0.0000 0.5000 0.0000
3 Sm 0.5000 0.5000 0.5000
4 Tl 0.5000 0.0000 0.0000

Energy   -3.91 eV/atom
Excess energy over the best structure of this formula in the dataset   0.0000 eV per atom
DOS(E_F)   1.2 states/eV/f.u.
M_tot   0.000 μB per atom

[4]
DFT (PBE) results for crystalline Hf2GeP2 at its relaxed geometry.

Cell lengths 7.1898, 7.1898, 3.3742 Å; angles 90.00, 90.00, 90.00 degrees
Fractional coordinates of all 10 atoms:
1 Hf 0.3445 0.1555 0.5000
2 Hf 0.6555 0.8445 0.5000
3 Hf 0.8445 0.3445 0.5000
4 Hf 0.1555 0.6555 0.5000
5 P 0.8617 0.6383 0.0000
6 P 0.3617 0.8617 0.0000
7 P 0.6383 0.1383 0.0000
8 P 0.1383 0.3617 0.0000
9 Ge 0.5000 0.5000 0.0000
10 Ge 0.0000 0.0000 0.0000

Energy   -7.70 eV/atom
Excess energy over the best structure of this formula in the dataset   0.1024 eV per atom
DOS(E_F)   3.8 states/eV/f.u.
M_tot   0.000 μB per atom

[5]
DFT (PBE) results for crystalline IrPt2Br at its relaxed geometry.

Cell lengths 9.7115, 9.7115, 9.7115 Å; angles 17.11, 17.11, 17.11 degrees
Fractional coordinates of all 4 atoms:
1 Br 0.2500 0.2500 0.2500
2 Ir 0.7500 0.7500 0.7500
3 Pt 0.0091 0.0091 0.0091
4 Pt 0.4909 0.4909 0.4909

Energy   -5.15 eV/atom
Excess energy over the best structure of this formula in the dataset   0.1301 eV per atom
DOS(E_F)   6.4 states/eV/f.u.
M_tot   0.000 μB per atom
Formation energy from raw total energies   0.5060 eV/atom

[6]
DFT (PBE) results for crystalline Y2NbSi4Pt3 at its relaxed geometry.

Cell lengths 4.1735, 4.1735, 10.3034 Å; angles 90.00, 90.00, 90.00 degrees
Fractional coordinates of all 10 atoms:
1 Y 0.5000 0.0000 0.2394
2 Y 0.0000 0.5000 0.7606
3 Si 0.5000 0.0000 0.6452
4 Si 0.0000 0.5000 0.3548
5 Si 0.5000 0.5000 0.0000
6 Si 0.0000 0.0000 0.0000
7 Nb 0.5000 0.5000 0.5000
8 Pt 0.0000 0.0000 0.5000
9 Pt 0.0000 0.5000 0.1207
10 Pt 0.5000 0.0000 0.8793

Energy   -7.26 eV/atom
DOS(E_F)   4.6 states/eV/f.u.
M_tot   0.000 μB per atom
Formation energy from raw total energies   -0.9753 eV/atom

Among the records above, which one has the highest DOS(E_F)?
Dy5Mg5Cd2

Among the records above, which one has the highest energy?
Dy5Mg5Cd2

Please write out number 1 again, unchanged.
DFT (PBE) results for crystalline Dy5Mg5Cd2 at its relaxed geometry.

Cell lengths 5.2433, 5.2433, 14.1573 Å; angles 79.37, 79.37, 59.91 degrees
Fractional coordinates of all 12 atoms:
1 Dy 0.1444 0.1444 0.5674
2 Dy 0.6045 0.6045 0.1849
3 Dy 0.0000 0.0000 0.0000
4 Dy 0.8556 0.8556 0.4326
5 Dy 0.3955 0.3955 0.8151
6 Mg 0.6931 0.6931 0.9222
7 Mg 0.7737 0.7737 0.6804
8 Mg 0.3069 0.3069 0.0778
9 Mg 0.2263 0.2263 0.3196
10 Mg 0.5000 0.5000 0.5000
11 Cd 0.0732 0.0732 0.7829
12 Cd 0.9268 0.9268 0.2171

Energy   -2.78 eV/atom
DOS(E_F)   12.6 states/eV/f.u.
M_tot   0.000 μB per atom

Look up the energy of the first one.
-2.78 eV/atom